{
  "formula": "TaRuRh3",
  "functional": "PBE",
  "state": "optimized geometry",
  "lattice_angstrom": [[-2.082, -2.267, 3.515], [-2.351, -2.613, -3.077], [3.459, -3.140, 0.023]],
  "species": ["Ta", "Ru", "Rh", "Rh", "Rh"],
  "frac_coords": [[0.000, 0.000, 0.000], [0.500, 0.500, 0.500], [0.000, 0.500, 0.000], [0.000, 0.000, 0.500], [0.500, 0.000, 0.000]],
  "spacegroup": "Pm-3m",
  "formation_enthalpy_0k_mev_per_atom": 1317,
  "e_tot_ev_per_atom": -7.319,
  "e_above_lowest_polymorph_mev_per_atom": 0,
  "total_magnetization_mub_per_cell": 3.2
}


{
  "formula": "Ba2NbAgRh",
  "functional": "PBE",
  "state": "optimized geometry",
  "lattice_angstrom": [[-1.547, 5.706, 0.724], [0.439, -0.517, 5.012], [5.728, 1.596, -0.337]],
  "species": ["Ba", "Ba", "Rh", "Nb", "Ag"],
  "frac_coords": [[0.000, 0.000, 0.500], [0.500, 0.000, 0.000], [0.500, 0.500, 0.500], [0.000, 0.000, 0.000], [0.000, 0.500, 0.000]],
  "spacegroup": "P4/mmm",
  "formation_enthalpy_0k_mev_per_atom": 1260,
  "e_tot_ev_per_atom": -3.564,
  "total_magnetization_mub_per_cell": 1.7
}